Tl6MoO12 | GGA+U | relaxed

**ρ**: 9.3 g/cm3
**Total energy**: -96.8 eV per cell

a = 6.5494 Å, b = 6.5494 Å, c = 6.5494 Å
α = 98.43°, β = 98.43°, γ = 98.43°
Closest atoms and distances in Å follow each position.
Positions (direct):
Tl  0.3075  0.6040  0.1348  3 O 2.16-2.35
O  0.8252  0.3998  0.5823  2 Tl 2.16-2.19
O  0.9629  0.0905  0.2885  1 Mo 1.96
O  0.6002  0.4177  0.1748  2 Tl 2.16-2.19
Tl  0.6925  0.3960  0.8652  3 O 2.16-2.35
Tl  0.1348  0.3075  0.6040  3 O 2.16-2.35
O  0.2885  0.9629  0.0905  1 Mo 1.96
O  0.5823  0.8252  0.3998  2 Tl 2.16-2.19
Tl  0.6040  0.1348  0.3075  3 O 2.16-2.35
O  0.4177  0.1748  0.6002  2 Tl 2.16-2.19
Tl  0.3960  0.8652  0.6925  3 O 2.16-2.35
O  0.1748  0.6002  0.4177  2 Tl 2.16-2.19
O  0.0371  0.9095  0.7115  1 Mo 1.96
Tl  0.8652  0.6925  0.3960  3 O 2.16-2.35
O  0.0905  0.2885  0.9629  1 Mo 1.96
O  0.3998  0.5823  0.8252  2 Tl 2.16-2.19
O  0.7115  0.0371  0.9095  1 Mo 1.96
O  0.9095  0.7115  0.0371  1 Mo 1.96
Mo  0.0000  0.0000  0.0000  6 O 1.96